[1]
DFT (PBE) results for a geometry-optimized CaNbGeTeP structure. Values from VASP.

Properties
ΔE to the lowest computed polymorph: 0.73 eV per formula unit
Formation energy (no corrections): -2.3 eV per formula unit
Energy: -55.075 eV for the cell shown
Space-group type: Cm (8)
DOS at the Fermi energy: 0.6021 states/eV/atom

Quantum ESPRESSO input file:
```
&SYSTEM
  ibrav = 0, nat = 10, ntyp = 5
/
ATOMIC_SPECIES
Ca 40.08 Ca.upf
Nb 92.91 Nb.upf
Ge 72.64 Ge.upf
Te 127.60 Te.upf
P 30.97 P.upf
CELL_PARAMETERS angstrom
8.184 0.000 0.000
0.000 3.687 0.000
-2.541 0.000 8.247
ATOMIC_POSITIONS crystal
Ca 0.000 0.000 0.000
Ca 0.500 0.500 0.000
Nb 0.130 0.000 0.440
Nb 0.630 0.500 0.440
Ge 0.272 0.500 0.243
Ge 0.772 0.000 0.243
Te 0.232 0.000 0.772
Te 0.732 0.500 0.772
P 0.429 0.000 0.442
P 0.929 0.500 0.442
```

---

[2]
DFT (PBE) results for a geometry-optimized In2GaN3 structure. Values from VASP.

Properties
Formation energy (no corrections): 1.1 eV per formula unit
Energy: -129.374 eV for the cell shown
Space-group type: Ccce (68)
DOS at the Fermi energy: 0.1195 states/eV/atom

Quantum ESPRESSO input file:
```
&SYSTEM
  ibrav = 0, nat = 24, ntyp = 3
/
ATOMIC_SPECIES
In 114.82 In.upf
Ga 69.72 Ga.upf
N 14.01 N.upf
CELL_PARAMETERS angstrom
2.787 -5.611 0.000
2.787 5.611 0.000
0.000 0.000 11.076
ATOMIC_POSITIONS crystal
In 0.076 0.415 0.112
In 0.085 0.424 0.612
In 0.415 0.076 0.612
In 0.424 0.085 0.112
In 0.576 0.915 0.888
In 0.585 0.924 0.388
In 0.915 0.576 0.388
In 0.924 0.585 0.888
Ga 0.250 0.250 0.348
Ga 0.250 0.250 0.848
Ga 0.750 0.750 0.152
Ga 0.750 0.750 0.652
N 0.016 0.737 0.076
N 0.082 0.918 0.750
N 0.237 0.516 0.424
N 0.263 0.984 0.424
N 0.418 0.582 0.750
N 0.484 0.763 0.076
N 0.516 0.237 0.924
N 0.582 0.418 0.250
N 0.737 0.016 0.576
N 0.763 0.484 0.576
N 0.918 0.082 0.250
N 0.984 0.263 0.924
```

---

[3]
DFT (PBE) results for a geometry-optimized BaCa2Br structure. Values from VASP.

Properties
Formation energy (no corrections): -1.1 eV per formula unit
Energy: -34.766 eV for the cell shown
Space-group type: F-43m (216)
DOS at the Fermi energy: 1.1574 states/eV/atom

Quantum ESPRESSO input file:
```
&SYSTEM
  ibrav = 0, nat = 16, ntyp = 3
/
ATOMIC_SPECIES
Ba 137.33 Ba.upf
Ca 40.08 Ca.upf
Br 79.90 Br.upf
CELL_PARAMETERS angstrom
8.856 0.000 0.000
0.000 8.856 0.000
0.000 0.000 8.856
ATOMIC_POSITIONS crystal
Ba 0.000 0.000 0.000
Ba 0.000 0.500 0.500
Ba 0.500 0.000 0.500
Ba 0.500 0.500 0.000
Ca 0.000 0.000 0.500
Ca 0.000 0.500 0.000
Ca 0.250 0.250 0.250
Ca 0.250 0.750 0.750
Ca 0.500 0.000 0.000
Ca 0.500 0.500 0.500
Ca 0.750 0.250 0.750
Ca 0.750 0.750 0.250
Br 0.250 0.250 0.750
Br 0.250 0.750 0.250
Br 0.750 0.250 0.250
Br 0.750 0.750 0.750
```

---

[4]
DFT (PBE) results for a geometry-optimized PrGaSiRh3 structure. Values from VASP.

Properties
Formation energy (no corrections): -3.7 eV per formula unit
Energy: -78.037 eV for the cell shown
Space-group type: Cmcm (63)
DOS at the Fermi energy: 0.4660 states/eV/atom

Quantum ESPRESSO input file:
```
&SYSTEM
  ibrav = 0, nat = 12, ntyp = 4
/
ATOMIC_SPECIES
Pr 140.91 Pr.upf
Ga 69.72 Ga.upf
Si 28.09 Si.upf
Rh 102.91 Rh.upf
CELL_PARAMETERS angstrom
2.902 -7.136 0.000
2.902 7.136 0.000
0.000 0.000 5.853
ATOMIC_POSITIONS crystal
Pr 0.222 0.778 0.750
Pr 0.778 0.222 0.250
Ga 0.098 0.902 0.250
Ga 0.902 0.098 0.750
Si 0.429 0.571 0.250
Si 0.571 0.429 0.750
Rh 0.246 0.246 0.000
Rh 0.246 0.246 0.500
Rh 0.269 0.731 0.250
Rh 0.731 0.269 0.750
Rh 0.754 0.754 0.000
Rh 0.754 0.754 0.500
```

---

[5]
DFT (PBE) results for a geometry-optimized Cs5RbP structure. Values from VASP.

Properties
Formation enthalpy at 0 K: -76 meV/atom
Energy: -22.360 eV for the cell shown
Space-group type: C2/c (15)
DOS at the Fermi energy: 0.6024 states/eV/atom

Quantum ESPRESSO input file:
```
&SYSTEM
  ibrav = 0, nat = 14, ntyp = 3
/
ATOMIC_SPECIES
Cs 132.91 Cs.upf
Rb 85.47 Rb.upf
P 30.97 P.upf
CELL_PARAMETERS angstrom
8.895 -5.328 0.000
8.895 5.328 0.000
-6.129 0.000 13.446
ATOMIC_POSITIONS crystal
Cs 0.002 0.998 0.750
Cs 0.074 0.632 0.425
Cs 0.081 0.631 0.929
Cs 0.368 0.926 0.075
Cs 0.369 0.919 0.571
Cs 0.631 0.081 0.429
Cs 0.632 0.074 0.925
Cs 0.919 0.369 0.071
Cs 0.926 0.368 0.575
Cs 0.998 0.002 0.250
Rb 0.500 0.500 0.250
Rb 0.500 0.500 0.750
P 0.000 0.000 0.000
P 0.000 0.000 0.500
```

---

[6]
DFT (PBE) results for a geometry-optimized AgTeO3 structure. Values from VASP.

Properties
Formation energy (no corrections): -3.5 eV per formula unit
Energy: -195.095 eV for the cell shown
Space-group type: P2_1/c (14)

Quantum ESPRESSO input file:
```
&SYSTEM
  ibrav = 0, nat = 40, ntyp = 3
/
ATOMIC_SPECIES
Ag 107.87 Ag.upf
Te 127.60 Te.upf
O 16.00 O.upf
CELL_PARAMETERS angstrom
6.054 0.000 0.000
0.000 11.709 0.000
-4.472 0.000 8.086
ATOMIC_POSITIONS crystal
Ag 0.065 0.173 0.217
Ag 0.065 0.327 0.717
Ag 0.109 0.646 0.038
Ag 0.109 0.854 0.538
Ag 0.891 0.146 0.462
Ag 0.891 0.354 0.962
Ag 0.935 0.673 0.283
Ag 0.935 0.827 0.783
Te 0.402 0.124 0.003
Te 0.402 0.376 0.503
Te 0.435 0.574 0.815
Te 0.435 0.926 0.315
Te 0.565 0.074 0.685
Te 0.565 0.426 0.185
Te 0.598 0.624 0.497
Te 0.598 0.876 0.997
O 0.076 0.185 0.930
O 0.076 0.315 0.430
O 0.268 0.034 0.485
O 0.268 0.466 0.985
O 0.276 0.540 0.446
O 0.276 0.960 0.946
O 0.351 0.145 0.771
O 0.351 0.355 0.271
O 0.401 0.737 0.922
O 0.401 0.763 0.422
O 0.467 0.092 0.231
O 0.467 0.408 0.731
O 0.533 0.592 0.269
O 0.533 0.908 0.769
O 0.599 0.237 0.578
O 0.599 0.263 0.078
O 0.649 0.645 0.729
O 0.649 0.855 0.229
O 0.724 0.040 0.054
O 0.724 0.460 0.554
O 0.732 0.534 0.015
O 0.732 0.966 0.515
O 0.924 0.685 0.570
O 0.924 0.815 0.070
```

---

[7]
DFT (PBE) results for a geometry-optimized ScTiCo2Ir structure. Values from VASP.

Properties
Formation enthalpy at 0 K: 986 meV/atom
Energy: -32.368 eV for the cell shown
Space-group type: P4/mmm (123)
DOS at the Fermi energy: 0.5648 states/eV/atom

Quantum ESPRESSO input file:
```
&SYSTEM
  ibrav = 0, nat = 5, ntyp = 4
/
ATOMIC_SPECIES
Sc 44.96 Sc.upf
Ti 47.87 Ti.upf
Co 58.93 Co.upf
Ir 192.22 Ir.upf
CELL_PARAMETERS angstrom
4.240 0.000 0.000
0.000 4.240 0.000
0.000 0.000 4.719
ATOMIC_POSITIONS crystal
Sc 0.000 0.000 0.000
Ti 0.500 0.500 0.500
Co 0.000 0.500 0.000
Co 0.500 0.000 0.000
Ir 0.000 0.000 0.500
```

---

[8]
DFT (PBE) results for a geometry-optimized Al4ZnAg3 structure. Values from VASP.

Properties
Formation enthalpy at 0 K: 23 meV/atom
ΔE to the lowest computed polymorph: 0.23 eV per formula unit
Energy: -49.235 eV for the cell shown
Space-group type: Immm (71)
DOS at the Fermi energy: 0.2603 states/eV/atom

Quantum ESPRESSO input file:
```
&SYSTEM
  ibrav = 0, nat = 16, ntyp = 3
/
ATOMIC_SPECIES
Al 26.98 Al.upf
Zn 65.41 Zn.upf
Ag 107.87 Ag.upf
CELL_PARAMETERS angstrom
2.923 0.000 0.000
0.000 7.329 0.000
0.000 0.000 13.163
ATOMIC_POSITIONS crystal
Al 0.000 0.188 0.154
Al 0.000 0.188 0.846
Al 0.000 0.812 0.154
Al 0.000 0.812 0.846
Al 0.500 0.312 0.346
Al 0.500 0.312 0.654
Al 0.500 0.688 0.346
Al 0.500 0.688 0.654
Zn 0.000 0.500 0.000
Zn 0.500 0.000 0.500
Ag 0.000 0.000 0.331
Ag 0.000 0.000 0.669
Ag 0.000 0.500 0.500
Ag 0.500 0.000 0.000
Ag 0.500 0.500 0.169
Ag 0.500 0.500 0.831
```

---

[9]
DFT (PBE) results for a geometry-optimized TaV4Tc structure. Values from VASP.

Properties
Formation enthalpy at 0 K: -96 meV/atom
ΔE to the lowest computed polymorph: 0.00 eV per formula unit
Energy: -59.268 eV for the cell shown
Space-group type: F-43m (216)
DOS at the Fermi energy: 0.4956 states/eV/atom

Quantum ESPRESSO input file:
```
&SYSTEM
  ibrav = 0, nat = 6, ntyp = 3
/
ATOMIC_SPECIES
Ta 180.95 Ta.upf
V 50.94 V.upf
Tc 98.00 Tc.upf
CELL_PARAMETERS angstrom
0.000 3.514 3.514
3.514 0.000 3.514
3.514 3.514 0.000
ATOMIC_POSITIONS crystal
Ta 0.000 0.000 0.000
V 0.125 0.625 0.625
V 0.625 0.125 0.625
V 0.625 0.625 0.125
V 0.625 0.625 0.625
Tc 0.250 0.250 0.250
```

---

[10]
DFT (PBE) results for a geometry-optimized Be3Br structure. Values from VASP.

Properties
ΔE to the lowest computed polymorph: 1.49 eV per formula unit
Formation energy (no corrections): 2.3 eV per formula unit
Energy: -10.594 eV for the cell shown
Space-group type: Pmm2 (25)
DOS at the Fermi energy: 0.2500 states/eV/atom

Quantum ESPRESSO input file:
```
&SYSTEM
  ibrav = 0, nat = 4, ntyp = 2
/
ATOMIC_SPECIES
Be 9.01 Be.upf
Br 79.90 Br.upf
CELL_PARAMETERS angstrom
3.290 0.000 0.000
0.000 3.456 0.000
0.000 0.000 5.643
ATOMIC_POSITIONS crystal
Be 0.000 0.000 0.000
Be 0.000 0.500 0.210
Be 0.500 0.500 0.984
Br 0.500 0.000 0.682
```

---

[11]
DFT (PBE) results for a geometry-optimized Sr2Mg2Hg structure. Values from VASP.

Properties
Formation enthalpy at 0 K: 26 meV/atom
ΔE to the lowest computed polymorph: 1.30 eV per formula unit
Energy: -13.446 eV for the cell shown
Space-group type: P4/mbm (127)
DOS at the Fermi energy: 1.3050 states/eV/atom

Quantum ESPRESSO input file:
```
&SYSTEM
  ibrav = 0, nat = 10, ntyp = 3
/
ATOMIC_SPECIES
Sr 87.62 Sr.upf
Mg 24.30 Mg.upf
Hg 200.59 Hg.upf
CELL_PARAMETERS angstrom
9.010 0.000 0.000
0.000 9.010 0.000
0.000 0.000 4.753
ATOMIC_POSITIONS crystal
Sr 0.166 0.334 0.000
Sr 0.334 0.834 0.000
Sr 0.666 0.166 0.000
Sr 0.834 0.666 0.000
Mg 0.126 0.626 0.500
Mg 0.374 0.126 0.500
Mg 0.626 0.874 0.500
Mg 0.874 0.374 0.500
Hg 0.000 0.000 0.000
Hg 0.500 0.500 0.000
```

---

[12]
DFT (PBE) results for a geometry-optimized KUBe2O6 structure. Values from VASP.

Properties
Formation energy (no corrections): -24.1 eV per formula unit
Energy: -147.397 eV for the cell shown
Space-group type: C2/c (15)
DOS at the Fermi energy: 0.6199 states/eV/atom

Quantum ESPRESSO input file:
```
&SYSTEM
  ibrav = 0, nat = 20, ntyp = 4
/
ATOMIC_SPECIES
K 39.10 K.upf
U 238.03 U.upf
Be 9.01 Be.upf
O 16.00 O.upf
CELL_PARAMETERS angstrom
4.862 -4.996 0.000
4.862 4.996 0.000
-1.748 0.000 5.471
ATOMIC_POSITIONS crystal
K 0.087 0.913 0.750
K 0.913 0.087 0.250
U 0.306 0.694 0.250
U 0.694 0.306 0.750
Be 0.222 0.365 0.853
Be 0.365 0.222 0.353
Be 0.635 0.778 0.647
Be 0.778 0.635 0.147
O 0.007 0.710 0.260
O 0.241 0.610 0.899
O 0.281 0.362 0.161
O 0.290 0.993 0.240
O 0.362 0.281 0.661
O 0.390 0.759 0.601
O 0.610 0.241 0.399
O 0.638 0.719 0.339
O 0.710 0.007 0.760
O 0.719 0.638 0.839
O 0.759 0.390 0.101
O 0.993 0.290 0.740
```